# Rb2BMoRu

An optimized crystal structure of Rb2BMoRu (PBE-GGA, Alexandria).

## Properties
VASP energy = -17.8 eV/cell
DFT formation energy = 2.181 eV/atom
volume = 42.80 A^3/atom

Unit cell a=6.8453 b=4.5675 c=6.8453 alpha=90.00 beta=90.00 gamma=90.00
Last column: magnetic moment on the atom in μB.
Element x y z (fractional)
1 Rb 0.0000 0.0000 0.5000  0.03
2 Ru 0.0000 0.5000 0.0000  -0.40
3 Mo 0.0000 0.0000 0.0000  1.85
4 Rb 0.5000 0.0000 0.0000  0.03
5 B 0.5000 0.5000 0.5000  0.46